1.
A plane-wave DFT calculation with PBE-GGA was carried out for a geometry-optimized Ba2LaMgH structure.

Cell and atoms, written as CIF:
```
data_Ba2LaMgH
_symmetry_space_group_name_H-M 'P 4/m m m'
_symmetry_Int_Tables_number 123
_symmetry_space_group_name_Hall '-P 4 2'
_cell_length_a 5.836
_cell_length_b 5.836
_cell_length_c 5.057
_cell_angle_alpha 90.00
_cell_angle_beta 90.00
_cell_angle_gamma 90.00
loop_
_atom_site_label
_atom_site_type_symbol
_atom_site_fract_x
_atom_site_fract_y
_atom_site_fract_z
Ba1 Ba 0.000 0.500 0.000
La1 La 0.000 0.000 0.500
Mg1 Mg 0.500 0.500 0.500
H1 H 0.000 0.000 0.000
```

Output
The magnetization is 0.96 μB per cell. The total energy comes out at -2.7812 eV/atom.

=====

2.
A plane-wave DFT calculation with PBE-GGA was carried out for a geometry-optimized KReTe structure.

Cell and atoms, written as CIF:
```
data_KReTe
_symmetry_space_group_name_H-M 'F -4 3 m'
_symmetry_Int_Tables_number 216
_symmetry_space_group_name_Hall 'F -4 2 3'
_cell_length_a 7.648
_cell_length_b 7.648
_cell_length_c 7.648
_cell_angle_alpha 90.00
_cell_angle_beta 90.00
_cell_angle_gamma 90.00
loop_
_atom_site_label
_atom_site_type_symbol
_atom_site_fract_x
_atom_site_fract_y
_atom_site_fract_z
K1 K 0.000 0.000 0.000
Re1 Re 0.250 0.250 0.250
Te1 Te 0.250 0.250 0.750
```

Output
The magnetization is 21.65 μB per cell. For the formation energy from raw total energies, the calculation gives 1891 meV/atom. The value obtained for the relative energy among the computed polymorphs is 1322 meV per atom.

=====

3.
A plane-wave DFT calculation with PBE-GGA was carried out for a geometry-optimized La2TlInRu structure.

Cell and atoms, written as CIF:
```
data_La2TlInRu
_symmetry_space_group_name_H-M 'P 4/m m m'
_symmetry_Int_Tables_number 123
_symmetry_space_group_name_Hall '-P 4 2'
_cell_length_a 5.386
_cell_length_b 5.386
_cell_length_c 5.300
_cell_angle_alpha 90.00
_cell_angle_beta 90.00
_cell_angle_gamma 90.00
loop_
_atom_site_label
_atom_site_type_symbol
_atom_site_fract_x
_atom_site_fract_y
_atom_site_fract_z
La1 La 0.000 0.500 0.000
Tl1 Tl 0.000 0.000 0.500
In1 In 0.500 0.500 0.500
Ru1 Ru 0.500 0.500 0.000
```

Output
The magnetization is 0.00 μB per cell. As for the formation energy: -0.34 eV/atom. The value obtained for the relative energy among the computed polymorphs is 0 meV per atom.

=====

4.
A plane-wave DFT calculation with PBE-GGA was carried out for a geometry-optimized Sm2TmNpO8 structure.

Cell and atoms, written as CIF:
```
data_Sm2TmNpO8
_symmetry_space_group_name_H-M 'P 1 2/m 1'
_symmetry_Int_Tables_number 10
_symmetry_space_group_name_Hall '-P 2y'
_cell_length_a 3.884
_cell_length_b 7.490
_cell_length_c 5.474
_cell_angle_alpha 90.00
_cell_angle_beta 94.11
_cell_angle_gamma 90.00
loop_
_atom_site_label
_atom_site_type_symbol
_atom_site_fract_x
_atom_site_fract_y
_atom_site_fract_z
Sm1 Sm 0.000 0.240 0.000
Tm1 Tm 0.500 0.000 0.500
Np1 Np 0.500 0.500 0.500
O1 O 0.008 0.000 0.255
O2 O 0.047 0.500 0.280
O3 O 0.470 0.276 0.730
```

Output
The magnetization is 0.00 μB per cell. For the formation energy from raw total energies, the calculation gives -3160 meV/atom.

=====

5.
A plane-wave DFT calculation with PBE-GGA was carried out for a geometry-optimized Cd12Sn5As3 structure.

Cell and atoms, written as CIF:
```
data_Cd12Sn5As3
_symmetry_space_group_name_H-M 'I a -3 d'
_symmetry_Int_Tables_number 230
_symmetry_space_group_name_Hall '-I 4bd 2c 3'
_cell_length_a 16.691
_cell_length_b 16.691
_cell_length_c 16.691
_cell_angle_alpha 90.00
_cell_angle_beta 90.00
_cell_angle_gamma 90.00
loop_
_atom_site_label
_atom_site_type_symbol
_atom_site_fract_x
_atom_site_fract_y
_atom_site_fract_z
Cd1 Cd 0.021 0.086 0.651
Sn1 Sn 0.000 0.000 0.000
Sn2 Sn 0.000 0.250 0.375
As1 As 0.000 0.250 0.125
```

Output
The magnetization is 0.00 μB per cell. As for the formation energy: 0.14 eV/atom.

=====

6.
A plane-wave DFT calculation with PBE-GGA was carried out for a geometry-optimized Li2TlTc structure.

Cell and atoms, written as CIF:
```
data_Li2TlTc
_symmetry_space_group_name_H-M 'F m -3 m'
_symmetry_Int_Tables_number 225
_symmetry_space_group_name_Hall '-F 4 2 3'
_cell_length_a 6.300
_cell_length_b 6.300
_cell_length_c 6.300
_cell_angle_alpha 90.00
_cell_angle_beta 90.00
_cell_angle_gamma 90.00
loop_
_atom_site_label
_atom_site_type_symbol
_atom_site_fract_x
_atom_site_fract_y
_atom_site_fract_z
Li1 Li 0.250 0.250 0.250
Tl1 Tl 0.000 0.000 0.000
Tc1 Tc 0.000 0.000 0.500
```

Output
The magnetization is 7.24 μB per cell. As for the formation energy: 0.40 eV/atom. The value obtained for the relative energy among the computed polymorphs is 120 meV per atom.

=====

7.
A plane-wave DFT calculation with PBE-GGA was carried out for a geometry-optimized Sc2MnRe structure.

Cell and atoms, written as CIF:
```
data_Sc2MnRe
_symmetry_space_group_name_H-M 'P 4/m m m'
_symmetry_Int_Tables_number 123
_symmetry_space_group_name_Hall '-P 4 2'
_cell_length_a 3.354
_cell_length_b 3.354
_cell_length_c 6.343
_cell_angle_alpha 90.00
_cell_angle_beta 90.00
_cell_angle_gamma 90.00
loop_
_atom_site_label
_atom_site_type_symbol
_atom_site_fract_x
_atom_site_fract_y
_atom_site_fract_z
Sc1 Sc 0.000 0.000 0.238
Mn1 Mn 0.500 0.500 0.500
Re1 Re 0.500 0.500 0.000
```

Output
The magnetization is 3.60 μB per cell. As for the formation energy: 0.08 eV/atom.

=====

8.
A plane-wave DFT calculation with PBE-GGA was carried out for a geometry-optimized Rb2TlBi2 structure.

Cell and atoms, written as CIF:
```
data_Rb2TlBi2
_symmetry_space_group_name_H-M 'P 4/m b m'
_symmetry_Int_Tables_number 127
_symmetry_space_group_name_Hall '-P 4 2ab'
_cell_length_a 10.926
_cell_length_b 10.926
_cell_length_c 3.622
_cell_angle_alpha 90.00
_cell_angle_beta 90.00
_cell_angle_gamma 90.00
loop_
_atom_site_label
_atom_site_type_symbol
_atom_site_fract_x
_atom_site_fract_y
_atom_site_fract_z
Rb1 Rb 0.195 0.305 0.000
Tl1 Tl 0.000 0.000 0.000
Bi1 Bi 0.097 0.597 0.500
```

Output
The magnetization is 0.00 μB per cell. As for the formation energy: -0.07 eV/atom. The value obtained for the relative energy among the computed polymorphs is 204 meV per atom.

=====

9.
A plane-wave DFT calculation with PBE-GGA was carried out for a geometry-optimized Hf3AuC structure.

Cell and atoms, written as CIF:
```
data_Hf3AuC
_symmetry_space_group_name_H-M 'P m -3 m'
_symmetry_Int_Tables_number 221
_symmetry_space_group_name_Hall '-P 4 2 3'
_cell_length_a 5.071
_cell_length_b 5.071
_cell_length_c 5.071
_cell_angle_alpha 90.00
_cell_angle_beta 90.00
_cell_angle_gamma 90.00
loop_
_atom_site_label
_atom_site_type_symbol
_atom_site_fract_x
_atom_site_fract_y
_atom_site_fract_z
Hf1 Hf 0.000 0.000 0.500
Au1 Au 0.000 0.000 0.000
C1 C 0.500 0.500 0.500
```

Output
The magnetization is 0.00 μB per cell. As for the formation energy: 1.90 eV/atom. The value obtained for the relative energy among the computed polymorphs is 2587 meV per atom.

=====

10.
A plane-wave DFT calculation with PBE-GGA was carried out for a geometry-optimized PIrSeCl2 structure.

Cell and atoms, written as CIF:
```
data_PIrSeCl2
_symmetry_space_group_name_H-M 'P 4/m m m'
_symmetry_Int_Tables_number 123
_symmetry_space_group_name_Hall '-P 4 2'
_cell_length_a 4.633
_cell_length_b 4.633
_cell_length_c 5.419
_cell_angle_alpha 90.00
_cell_angle_beta 90.00
_cell_angle_gamma 90.00
loop_
_atom_site_label
_atom_site_type_symbol
_atom_site_fract_x
_atom_site_fract_y
_atom_site_fract_z
P1 P 0.000 0.000 0.000
Ir1 Ir 0.500 0.500 0.000
Se1 Se 0.000 0.000 0.500
Cl1 Cl 0.000 0.500 0.500
```

Output
The magnetization is 1.59 μB per cell. For the formation energy from raw total energies, the calculation gives 1370 meV/atom. The value obtained for the relative energy among the computed polymorphs is 887 meV per atom.

=====

11.
A plane-wave DFT calculation with PBE-GGA was carried out for a geometry-optimized La3Tb2Sm6Ho structure.

Cell and atoms, written as CIF:
```
data_La3Tb2Sm6Ho
_symmetry_space_group_name_H-M 'C 1 2/m 1'
_symmetry_Int_Tables_number 12
_symmetry_space_group_name_Hall '-C 2y'
_cell_length_a 6.305
_cell_length_b 10.929
_cell_length_c 12.072
_cell_angle_alpha 90.00
_cell_angle_beta 100.08
_cell_angle_gamma 90.00
loop_
_atom_site_label
_atom_site_type_symbol
_atom_site_fract_x
_atom_site_fract_y
_atom_site_fract_z
La1 La 0.000 0.000 0.000
La2 La 0.000 0.334 0.000
Tb1 Tb 0.000 0.167 0.500
Sm1 Sm 0.248 0.000 0.744
Sm2 Sm 0.248 0.333 0.744
Ho1 Ho 0.000 0.500 0.500
```

Output
The magnetization is 0.00 μB per cell. As for the formation energy: 0.02 eV/atom.

=====

12.
A plane-wave DFT calculation with PBE-GGA was carried out for a geometry-optimized Ca4Sn3GeN8 structure.

Cell and atoms, written as CIF:
```
data_Ca4Sn3GeN8
_symmetry_space_group_name_H-M 'R -3 m'
_symmetry_Int_Tables_number 166
_symmetry_space_group_name_Hall '-R 3 2"'
_cell_length_a 6.6035
_cell_length_b 6.6035
_cell_length_c 16.5533
_cell_angle_alpha 90.00
_cell_angle_beta 90.00
_cell_angle_gamma 120.00
loop_
_atom_site_label
_atom_site_type_symbol
_atom_site_fract_x
_atom_site_fract_y
_atom_site_fract_z
Ca1 Ca 0.0000 0.0000 0.0000
Ca2 Ca 0.0000 0.5000 0.0000
Sn1 Sn 0.0000 0.5000 0.5000
Ge1 Ge 0.0000 0.0000 0.5000
N1 N 0.0000 0.0000 0.2397
N2 N 0.0101 0.5050 0.2381
```

Output
The magnetization is 0.00 μB per cell. For the formation energy from raw total energies, the calculation gives -392 meV/atom.